Run A
PBE Al2MoW, optimized geometry; space group = P4mm, No. 99; DOS at the Fermi energy = 0.453 states/eV/atom
1.0
-1.463 1.575 2.446
-2.417 -2.182 -0.040
2.913 -3.298 3.866
Mo Al W
1 2 1
Direct
0.000 0.000 0.507
0.000 0.000 0.001
0.500 0.500 0.251
0.500 0.500 0.741



Run B
PBE Al2MoW, optimized geometry; space group = I-42d, No. 122; DOS at the Fermi energy = 0.817 states/eV/atom
1.0
6.951 0.000 0.000
0.000 6.951 0.000
3.476 3.476 2.728
Mo Al W
2 4 2
Direct
0.500 0.500 0.000
0.250 0.750 0.500
0.623 0.125 0.250
0.127 0.625 0.250
0.375 0.377 0.750
0.875 0.873 0.750
0.000 0.000 0.000
0.750 0.250 0.500



Run C
PBE Al2MoW, optimized geometry; space group = P4mm, No. 99; DOS at the Fermi energy = 0.913 states/eV/atom
1.0
-1.148 0.620 2.377
-2.432 0.085 -1.197
-1.109 -8.405 1.655
Mo Al W
1 2 1
Direct
0.000 0.000 0.492
0.000 0.000 0.995
0.500 0.500 0.255
0.500 0.500 0.758



Run D
PBE Al2MoW, optimized geometry; space group = Pmmm, No. 47; DOS at the Fermi energy = 0.624 states/eV/atom
1.0
3.297 0.000 0.000
0.000 4.376 0.000
0.000 0.000 4.266
Mo Al W
1 2 1
Direct
0.500 0.000 0.500
0.000 0.000 0.000
0.500 0.500 0.000
0.000 0.500 0.500



Most stable: run A. Least stable: run B.



Run A
PBE AlMo3W, optimized geometry; space group = Pm-3m, No. 221; DOS at the Fermi energy = 1.667 states/eV/atom
1.0
-1.382 -4.173 -1.785
4.505 -1.035 -1.070
0.551 -2.006 4.264
Mo Al W
3 1 1
Direct
0.000 0.500 0.000
0.000 0.000 0.500
0.500 0.000 0.000
0.500 0.500 0.500
0.000 0.000 0.000



Run B
PBE AlMo3W, optimized geometry; space group = Pm-3m, No. 221; DOS at the Fermi energy = 1.052 states/eV/atom
1.0
4.466 0.000 0.000
0.000 4.466 0.000
0.000 0.000 4.466
Mo Al W
3 1 1
Direct
0.000 0.500 0.000
0.000 0.000 0.500
0.500 0.000 0.000
0.000 0.000 0.000
0.500 0.500 0.500



Most stable: run B. Least stable: run A.



Run A
PBE YAl2Mo, optimized geometry; space group = Cm, No. 8; DOS at the Fermi energy = 0.592 states/eV/atom
1.0
5.414 0.010 0.031
4.595 2.862 0.031
1.424 0.409 4.880
Y Mo Al
1 1 2
Direct
0.248 0.248 0.246
0.481 0.481 0.536
0.019 0.019 0.982
0.752 0.752 0.737



Run B
PBE YAl2Mo, optimized geometry; space group = Fm-3m, No. 225; DOS at the Fermi energy = 1.066 states/eV/atom
1.0
-2.352 1.114 3.928
-1.696 4.358 0.574
-4.647 0.762 -0.173
Y Mo Al
1 1 2
Direct
0.000 0.000 0.000
0.500 0.500 0.500
0.250 0.250 0.250
0.750 0.750 0.750



Run C
PBE YAl2Mo, optimized geometry; space group = F-43m, No. 216; DOS at the Fermi energy = 0.934 states/eV/atom
1.0
-3.170 -2.125 2.755
1.400 -2.279 3.874
-0.982 1.764 4.252
Y Mo Al
1 1 2
Direct
0.750 0.750 0.750
0.500 0.500 0.500
0.000 0.000 0.000
0.250 0.250 0.250



Most stable: run B. Least stable: run C.



Run A
PBE YAl2Mo, optimized geometry; space group = C2/m, No. 12; DOS at the Fermi energy = 0.528 states/eV/atom
1.0
-0.533 -2.877 3.864
-2.197 -4.010 1.609
4.153 -3.732 -1.188
Y Mo Al
1 1 2
Direct
0.250 0.250 0.250
0.750 0.750 0.750
0.012 0.012 0.944
0.488 0.488 0.556



Run B
PBE YAl2Mo, optimized geometry; space group = I-42d, No. 122; DOS at the Fermi energy = 0.932 states/eV/atom
1.0
4.267 0.000 0.000
0.000 4.267 0.000
2.134 2.134 9.608
Y Mo Al
2 2 4
Direct
0.500 0.500 0.000
0.250 0.750 0.500
0.000 0.000 0.000
0.750 0.250 0.500
0.707 0.125 0.250
0.043 0.625 0.250
0.375 0.293 0.750
0.875 0.957 0.750



Run C
PBE YAl2Mo, optimized geometry; space group = Pmmm, No. 47; DOS at the Fermi energy = 0.744 states/eV/atom
1.0
-2.578 -3.080 1.293
1.236 -2.365 -3.169
3.178 -1.629 2.456
Y Mo Al
1 1 2
Direct
0.000 0.500 0.500
0.500 0.000 0.500
0.000 0.000 0.000
0.500 0.500 0.000



Most stable: run A. Least stable: run B.



Run A
PBE YAlMo3, optimized geometry; space group = Pm-3m, No. 221; DOS at the Fermi energy = 1.410 states/eV/atom
1.0
4.680 0.000 0.000
0.000 4.680 0.000
0.000 0.000 4.680
Y Mo Al
1 3 1
Direct
0.500 0.500 0.500
0.000 0.500 0.000
0.000 0.000 0.500
0.500 0.000 0.000
0.000 0.000 0.000



Run B
PBE YAlMo3, optimized geometry; space group = Pm-3m, No. 221; DOS at the Fermi energy = 1.701 states/eV/atom
1.0
4.807 0.000 0.000
0.000 4.807 0.000
0.000 0.000 4.807
Y Mo Al
1 3 1
Direct
0.000 0.000 0.000
0.000 0.500 0.000
0.000 0.000 0.500
0.500 0.000 0.000
0.500 0.500 0.500



Most stable: run A. Least stable: run B.



Run A
PBE YAl3Mo, optimized geometry; space group = Pm-3m, No. 221; DOS at the Fermi energy = 1.172 states/eV/atom
1.0
-1.851 3.007 3.958
-0.365 -4.294 3.092
4.957 0.807 1.706
Y Mo Al
1 1 3
Direct
0.000 0.000 0.000
0.500 0.500 0.500
0.000 0.500 0.000
0.000 0.000 0.500
0.500 0.000 0.000



Run B
PBE YAl3Mo, optimized geometry; space group = Pm-3m, No. 221; DOS at the Fermi energy = 0.493 states/eV/atom
1.0
-0.206 4.786 -0.243
-4.262 -0.294 -2.182
-2.192 0.122 4.265
Y Mo Al
1 1 3
Direct
0.500 0.500 0.500
0.000 0.000 0.000
0.000 0.500 0.000
0.000 0.000 0.500
0.500 0.000 0.000



Most stable: run B. Least stable: run A.



Run A
PBE Al2ZnMo2, optimized geometry; space group = P4/mbm, No. 127; DOS at the Fermi energy = 1.393 states/eV/atom
1.0
-2.814 5.899 1.200
-2.809 -0.115 -6.021
-2.788 -1.601 1.331
Mo Zn Al
4 2 4
Direct
0.169 0.669 0.500
0.669 0.831 0.500
0.831 0.331 0.500
0.331 0.169 0.500
0.000 0.000 0.000
0.500 0.500 0.000
0.368 0.868 0.000
0.868 0.632 0.000
0.632 0.132 0.000
0.132 0.368 0.000



Run B
PBE Al2ZnMo2, optimized geometry; space group = P4/mbm, No. 127; DOS at the Fermi energy = 0.353 states/eV/atom
1.0
6.891 0.000 0.000
0.000 6.891 0.000
0.000 0.000 3.483
Mo Zn Al
4 2 4
Direct
0.374 0.874 0.000
0.874 0.626 0.000
0.626 0.126 0.000
0.126 0.374 0.000
0.000 0.000 0.000
0.500 0.500 0.000
0.170 0.670 0.500
0.670 0.830 0.500
0.830 0.330 0.500
0.330 0.170 0.500



Most stable: run A. Least stable: run B.



Run A
PBE Al2Zn2Mo, optimized geometry; space group = P4/mbm, No. 127; DOS at the Fermi energy = 0.507 states/eV/atom
1.0
7.119 0.000 0.000
0.000 7.119 0.000
0.000 0.000 2.966
Mo Zn Al
2 4 4
Direct
0.000 0.000 0.000
0.500 0.500 0.000
0.377 0.877 0.000
0.877 0.623 0.000
0.623 0.123 0.000
0.123 0.377 0.000
0.179 0.679 0.500
0.679 0.821 0.500
0.821 0.321 0.500
0.321 0.179 0.500



Run B
PBE Al2Zn2Mo, optimized geometry; space group = P4/mbm, No. 127; DOS at the Fermi energy = 0.550 states/eV/atom
1.0
-1.383 4.699 5.086
-6.534 0.831 -2.544
-1.002 -2.275 1.830
Mo Zn Al
2 4 4
Direct
0.000 0.000 0.000
0.500 0.500 0.000
0.156 0.656 0.500
0.656 0.844 0.500
0.844 0.344 0.500
0.344 0.156 0.500
0.356 0.856 0.000
0.856 0.644 0.000
0.644 0.144 0.000
0.144 0.356 0.000



Most stable: run A. Least stable: run B.